No. 1
Compound: La4TlGaO
Source: Alexandria
Functional: PBE
Structure: relaxed

Calculated values
As for the spin magnetization: 0.00 μB/cell. Its density of states at the Fermi level is 9.75 states/eV/cell. As for the calculated volume: 29.23 Å³ per atom. Its uncorrected formation energy is -1.08 eV per atom.

Unit cell a=6.862 b=17.356 c=6.872 alpha=90.00 beta=90.00 gamma=90.00
Space group Cmcm (No. 63)
Unique sites:
La: 0.000 0.055 0.250
La: 0.000 0.421 0.250
La: 0.250 0.250 0.000
Tl: 0.000 0.391 0.750
Ga: 0.000 0.121 0.750
O: 0.000 0.277 0.250

No. 2
Compound: ErGe2P2Pt7
Source: Alexandria
Functional: PBE
Structure: relaxed

Calculated values
The calculation puts the formation energy at -14.19 kcal/mol of atoms. As for the spin magnetization: 0.00 μB/cell. Its density of states at the Fermi level is 5.69 states/eV/cell. As for the calculated volume: 18.74 Å³ per atom.

Unit cell a=5.521 b=5.480 c=15.106 alpha=90.00 beta=100.22 gamma=90.00
Space group C2/m (No. 12)
Unique sites:
Er: 0.000 0.000 0.000
Ge: 0.240 0.000 0.431
P: 0.117 0.500 0.241
Pt: 0.000 0.500 0.000
Pt: 0.177 0.250 0.850
Pt: 0.183 0.500 0.397

No. 3
Compound: LiCa3Sn12
Source: Alexandria
Functional: PBE
Structure: relaxed

Calculated values
The calculation puts the formation energy at -7.17 kcal/mol of atoms. As for the spin magnetization: 0.00 μB/cell. Its density of states at the Fermi level is 9.04 states/eV/cell. As for the calculated volume: 26.54 Å³ per atom.

Unit cell a=4.716 b=4.716 c=19.094 alpha=90.00 beta=90.00 gamma=90.00
Space group P4/mmm (No. 123)
Unique sites:
Li: 0.000 0.000 0.000
Ca: 0.000 0.000 0.250
Ca: 0.000 0.000 0.500
Sn: 0.000 0.500 0.119
Sn: 0.000 0.500 0.374
Sn: 0.500 0.500 0.000
Sn: 0.500 0.500 0.245
Sn: 0.500 0.500 0.500

No. 4
Compound: KMg
Source: Alexandria
Functional: PBE
Structure: relaxed

Calculated values
The calculation puts the formation energy at 15.43 kcal/mol of atoms. As for the spin magnetization: 1.03 μB/cell. Its density of states at the Fermi level is 13.70 states/eV/cell. As for the calculated volume: 73.50 Å³ per atom.

Unit cell a=8.378 b=8.378 c=8.378 alpha=90.00 beta=90.00 gamma=90.00
Space group F-43m (No. 216)
Unique sites:
K: 0.000 0.000 0.000
Mg: 0.250 0.250 0.750

No. 5
Compound: ZnSbPt2
Source: Alexandria
Functional: PBE
Structure: relaxed

Calculated values
As for the spin magnetization: 0.00 μB/cell. Its density of states at the Fermi level is 3.56 states/eV/cell. As for the calculated volume: 17.59 Å³ per atom. Its uncorrected formation energy is -0.24 eV per atom.

Unit cell a=8.452 b=3.587 c=4.769 alpha=90.00 beta=103.26 gamma=90.00
Space group C2/m (No. 12)
Unique sites:
Zn: 0.000 0.000 0.000
Sb: 0.000 0.500 0.500
Pt: 0.246 0.000 0.762

No. 6
Compound: Cs4RbGe3Br12
Source: Alexandria
Functional: PBE
Structure: relaxed

Calculated values
As for the spin magnetization: 0.00 μB/cell. Its density of states at the Fermi level is 10.92 states/eV/cell. As for the calculated volume: 38.06 Å³ per atom. Its uncorrected formation energy is -1.15 eV per atom.

Unit cell a=11.503 b=11.503 c=11.503 alpha=90.00 beta=90.00 gamma=90.00
Space group Im-3m (No. 229)
Unique sites:
Cs: 0.250 0.250 0.250
Rb: 0.000 0.000 0.000
Ge: 0.000 0.000 0.500
Br: 0.000 0.000 0.272
Br: 0.000 0.250 0.500

No. 7
Compound: AlSnPN2
Source: Alexandria
Functional: PBE
Structure: relaxed

Calculated values
As for the spin magnetization: 0.61 μB/cell. Its density of states at the Fermi level is 5.03 states/eV/cell. As for the calculated volume: 20.31 Å³ per atom. Its uncorrected formation energy is 1.60 eV per atom.

Unit cell a=3.943 b=3.943 c=6.531 alpha=90.00 beta=90.00 gamma=90.00
Space group P4/mmm (No. 123)
Unique sites:
Al: 0.000 0.000 0.000
Sn: 0.000 0.000 0.500
P: 0.500 0.500 0.000
N: 0.000 0.500 0.500

No. 8
Compound: Ga2PtRhN
Source: Alexandria
Functional: PBE
Structure: relaxed

Calculated values
As for the spin magnetization: 0.00 μB/cell. Its density of states at the Fermi level is 2.89 states/eV/cell. As for the calculated volume: 18.57 Å³ per atom. Its uncorrected formation energy is 0.67 eV per atom. The energy relative to the lowest polymorph listed for this composition comes out at 0 meV/atom.

Unit cell a=5.070 b=5.070 c=3.613 alpha=90.00 beta=90.00 gamma=90.00
Space group P4/mmm (No. 123)
Unique sites:
Ga: 0.000 0.500 0.000
Pt: 0.000 0.000 0.000
Rh: 0.500 0.500 0.500
N: 0.000 0.000 0.500

No. 9
Compound: TeMoPt
Source: Alexandria
Functional: PBE
Structure: relaxed

Calculated values
As for the spin magnetization: 0.00 μB/cell. Its density of states at the Fermi level is 3.42 states/eV/cell. As for the calculated volume: 18.51 Å³ per atom. Its uncorrected formation energy is 0.22 eV per atom. The energy relative to the lowest polymorph listed for this composition comes out at 61 meV/atom.

Unit cell a=3.221 b=3.221 c=10.706 alpha=90.00 beta=90.00 gamma=90.00
Space group I4mm (No. 107)
Unique sites:
Te: 0.000 0.000 0.000
Mo: 0.000 0.000 0.342
Pt: 0.000 0.000 0.692

No. 10
Compound: BaSr2CaRu
Source: Alexandria
Functional: PBE
Structure: relaxed

Calculated values
The calculation puts the formation energy at 5.39 kcal/mol of atoms. As for the spin magnetization: 0.00 μB/cell. Its density of states at the Fermi level is 6.48 states/eV/cell. As for the calculated volume: 42.25 Å³ per atom. The energy relative to the lowest polymorph listed for this composition comes out at 43 meV/atom.

Unit cell a=6.009 b=6.009 c=5.850 alpha=90.00 beta=90.00 gamma=90.00
Space group P4/mmm (No. 123)
Unique sites:
Ba: 0.000 0.000 0.000
Sr: 0.000 0.500 0.500
Ca: 0.500 0.500 0.000
Ru: 0.000 0.000 0.500

No. 11
Compound: PrNd2InO
Source: Alexandria
Functional: PBE
Structure: relaxed

Calculated values
As for the spin magnetization: 0.00 μB/cell. Its density of states at the Fermi level is 1.44 states/eV/cell. As for the calculated volume: 25.01 Å³ per atom. Its uncorrected formation energy is -1.40 eV per atom.

Unit cell a=4.985 b=4.985 c=5.033 alpha=90.00 beta=90.00 gamma=90.00
Space group P4/mmm (No. 123)
Unique sites:
Pr: 0.000 0.000 0.000
Nd: 0.000 0.500 0.500
In: 0.500 0.500 0.000
O: 0.000 0.000 0.500

No. 12
Compound: PuGe2Pd
Source: Alexandria
Functional: PBE
Structure: relaxed

Calculated values
The calculation puts the formation energy at -8.53 kcal/mol of atoms. As for the spin magnetization: 6.01 μB/cell. Its density of states at the Fermi level is 5.08 states/eV/cell. As for the calculated volume: 18.60 Å³ per atom.

Unit cell a=3.226 b=3.226 c=7.150 alpha=90.00 beta=90.00 gamma=90.00
Space group P4/mmm (No. 123)
Unique sites:
Pu: 0.000 0.000 0.000
Ge: 0.500 0.500 0.291
Pd: 0.000 0.000 0.500

No. 13
Compound: LiTaOs2
Source: Alexandria
Functional: PBE
Structure: relaxed

Calculated values
The calculation puts the formation energy at 3.45 kcal/mol of atoms. As for the spin magnetization: 0.00 μB/cell. Its density of states at the Fermi level is 6.34 states/eV/cell. As for the calculated volume: 14.78 Å³ per atom.

Unit cell a=5.500 b=8.705 c=2.710 alpha=90.00 beta=114.36 gamma=90.00
Space group C2/m (No. 12)
Unique sites:
Li: 0.000 0.000 0.000
Ta: 0.000 0.500 0.000
Os: 0.250 0.250 0.500